A relaxed structure of La2MgCu2. Source: Alexandria, functional PBE-GGA.

Lattice parameters (Å, degrees): 5.6772 5.6772 5.7062 60.17 60.17 90.00
With the nearest neighbours (Å) after each atom.
Element x y z (fractional)
Mg 0.0000 0.0000 0.0000  2 Cu 2.90
La 0.2500 0.7500 0.5000  4 Cu 2.97
La 0.7500 0.2500 0.5000  4 Cu 2.97
Cu 0.3574 0.3574 0.2851  1 Cu 2.31
Cu 0.6426 0.6426 0.7149  1 Cu 2.31

Space-group type = I4/mmm (139)
Formation energy = -0.033 eV per atom
E above lowest polymorph = 166 meV per atom
Magnetization = 0.00 μB per atom